1.
Here is a geometry-optimized TcMoP2 structure from Alexandria via LeMat-Bulk. Energies are from PBE-GGA.

Computed properties:
- Volume: 55 Å³ per cell
- Energy of formation: -405 meV/atom

Cell: 4.489 4.489 4.403 Å, 75.21 75.21 39.76°
Sites, in units of the cell vectors:
Mo 0.258 0.258 0.177
P 0.997 0.997 0.039
P 0.754 0.754 0.707
Tc 0.491 0.491 0.577

2.
Here is a geometry-optimized CaTl2Pd8 structure from Alexandria via LeMat-Bulk. Energies are from PBE-GGA.

Computed properties:
- Volume: 201 Å³ per cell
- Energy of formation: -255 meV/atom

Cell: 4.069 8.035 7.628 Å, 121.78 105.47 90.00°
Sites, in units of the cell vectors:
Ca 0.500 0.000 0.000
Tl 0.160 0.660 0.320
Tl 0.840 0.340 0.680
Pd 0.331 0.084 0.662
Pd 0.000 0.744 0.000
Pd 0.669 0.423 0.338
Pd 0.331 0.577 0.662
Pd 0.167 0.167 0.333
Pd 0.000 0.256 0.000
Pd 0.833 0.833 0.667
Pd 0.669 0.916 0.338

3.
Here is a geometry-optimized LiTePb3 structure from Alexandria via LeMat-Bulk. Energies are from PBE-GGA.

Computed properties:
- Volume: 146 Å³ per cell
- Formation energy from raw total energies: 0.3 eV per formula unit

Cell: 5.268 5.268 5.268 Å, 90.00 90.00 90.00°
Sites, in units of the cell vectors:
Pb 0.500 0.000 0.000
Pb 0.000 0.000 0.500
Pb 0.000 0.500 0.000
Te 0.500 0.500 0.500
Li 0.000 0.000 0.000

4.
Here is a geometry-optimized Pm4PrTm7 structure from Alexandria via LeMat-Bulk. Energies are from PBE-GGA.

Computed properties:
- Volume: 399 Å³ per cell
- Energy of formation: 261 meV/atom

Cell: 5.863 11.592 6.734 Å, 83.12 64.19 75.35°
Sites, in units of the cell vectors:
Tm 0.367 0.497 0.768
Tm 0.633 0.503 0.232
Tm 0.789 0.923 0.499
Tm 0.067 0.681 0.185
Tm 0.500 0.000 0.000
Tm 0.933 0.319 0.815
Tm 0.211 0.077 0.501
Pm 0.635 0.223 0.507
Pm 0.771 0.670 0.788
Pm 0.229 0.330 0.212
Pm 0.365 0.777 0.493
Pr 0.000 0.000 0.000

Number 1: distance to the lowest polymorph of the same formula 0.1465 eV per atom. Number 2: distance to the lowest polymorph of the same formula 0.0000 eV per atom. Number 3: distance to the lowest polymorph of the same formula 0.0000 eV per atom. Number 4: distance to the lowest polymorph of the same formula 0.1845 eV per atom.